1.
An optimized crystal structure of Sm2Y2Tm. Source: Alexandria, functional PBE-GGA.

```
10
Lattice="5.7176 0.0000 0.0000 0.0000 3.6382 0.0000 -2.8588 -1.8191 15.7765" Properties=species:S:1:pos:R:3 pbc="T T T"
Sm 2.8588 2.7286 7.2124
Sm 0.0000 -0.9095 8.5641
Sm 0.0000 -0.9095 11.6729
Sm 2.8588 2.7286 4.1036
Y 2.8588 0.9095 1.3268
Y 2.8588 -0.9095 14.0001
Y 0.0000 0.9095 14.4497
Y 0.0000 2.7286 1.7764
Tm 2.8588 0.9095 10.3999
Tm 0.0000 0.9095 5.3766
```

Summary:
E_form   0.139 eV/atom
D(E_F)   14.29 states/eV per cell
Magnetic moment   0.0 μB/f.u.
Total DFT energy (no corrections)   -5.2282 eV/atom

---

2.
An optimized crystal structure of Sm5Y12Tm2. Source: Alexandria, functional PBE-GGA.

```
19
Lattice="9.3525 0.0000 0.0000 -4.6762 7.6986 1.1612 0.0000 -1.5819 8.5206" Properties=species:S:1:pos:R:3 pbc="T T T"
Sm 0.0000 2.6397 5.3996
Sm 0.0000 2.9904 9.0352
Sm 0.0000 -0.7910 4.2603
Sm 4.6762 3.1263 0.6466
Sm 4.6762 3.4770 4.2822
Y 4.6762 6.3567 2.0612
Y -2.9987 4.2095 7.3174
Y 2.9987 4.2095 7.3174
Y -1.7845 5.1887 3.6819
Y 1.7845 5.1887 3.6819
Y 0.0000 5.7629 6.7048
Y 4.6762 0.3538 2.9771
Y 6.4607 0.9280 5.9999
Y 2.8918 0.9280 5.9999
Y 7.6749 1.9072 2.3645
Y 1.6775 1.9072 2.3645
Y 0.0000 -0.2400 7.6207
Tm 6.2842 0.0000 0.0000
Tm 3.0682 0.0000 0.0000
```

Summary:
E_form   0.116 eV/atom
D(E_F)   26.05 states/eV per cell
Magnetic moment   0.0 μB/f.u.
Total DFT energy (no corrections)   -5.6792 eV/atom

---

3.
An optimized crystal structure of SmY4Tm4. Source: Alexandria, functional PBE-GGA.

```
9
Lattice="6.6269 -1.8036 1.1047 0.3357 8.1312 1.5711 -0.6730 0.9179 5.5149" Properties=species:S:1:pos:R:3 pbc="T T T"
Sm 0.0000 0.0000 0.0000
Y 3.6150 4.4311 2.5799
Y 2.6746 2.8144 5.6109
Y 1.0612 1.9043 2.6902
Y 5.2284 5.3412 5.5006
Tm 6.1329 2.2285 6.1276
Tm 0.1567 5.0170 2.0632
Tm 1.8410 6.5151 4.8922
Tm 4.4486 0.7304 3.2986
```

Summary:
E_form   0.182 eV/atom
D(E_F)   13.58 states/eV per cell
Magnetic moment   0.0 μB/f.u.
Total DFT energy (no corrections)   -5.2027 eV/atom

---

4.
An optimized crystal structure of Sm5Y8Tm. Source: Alexandria, functional PBE-GGA.

```
14
Lattice="-4.8199 4.8199 5.0575 4.8199 -4.8199 5.0575 4.8199 4.8199 -5.0575" Properties=species:S:1:pos:R:3 pbc="T T T"
Sm 7.5769 1.0523 -0.7821
Sm 3.7675 2.7571 5.8396
Sm -2.7571 3.7675 4.2754
Sm 0.0000 0.0000 5.0575
Sm 1.0523 2.0628 0.7821
Y 1.7038 -0.8131 2.5553
Y 0.8131 1.7038 7.5598
Y 0.6871 3.1256 4.1103
Y 1.6942 5.5070 0.9472
Y 3.1256 -0.6871 6.0047
Y 4.0068 3.1161 2.5022
Y 3.1161 5.6329 -2.5022
Y 4.1327 1.6942 -0.9472
Tm 4.8199 0.0000 2.5288
```

Summary:
E_form   0.243 eV/atom
D(E_F)   19.88 states/eV per cell
Magnetic moment   0.0 μB/f.u.
Total DFT energy (no corrections)   -5.4558 eV/atom

---

5.
An optimized crystal structure of Sm3Y7Tm. Source: Alexandria, functional PBE-GGA.

```
11
Lattice="-2.0078 4.4755 2.5758 -9.3679 -2.1278 -3.6003 3.1207 -7.4948 3.5417" Properties=species:S:1:pos:R:3 pbc="T T T"
Sm 1.8102 -4.6246 3.4892
Sm -4.6840 -1.0639 -1.8002
Sm -10.0652 -0.5224 -0.9720
Y -6.7655 -4.4741 2.5107
Y -7.2717 -0.3815 0.9562
Y -4.2368 0.9005 1.0921
Y -4.0182 -6.0475 1.4251
Y 0.5565 -1.5096 3.0587
Y -0.9834 -4.7655 1.5610
Y -1.4896 -0.6729 0.0064
Tm -4.1275 -2.5735 1.2586
```

Summary:
E_form   0.143 eV/atom
D(E_F)   17.96 states/eV per cell
Magnetic moment   0.0 μB/f.u.
Total DFT energy (no corrections)   -5.6639 eV/atom

---

6.
An optimized crystal structure of Sm11Y9Tm4. Source: Alexandria, functional PBE-GGA.

```
24
Lattice="-1.5766 -3.2856 -0.0213 -2.2421 1.1740 -15.1451 13.4412 -6.4733 3.6347" Properties=species:S:1:pos:R:3 pbc="T T T"
Sm 11.5150 -5.4897 -5.5181
Sm -0.3160 0.1904 -5.9923
Sm 5.8374 -2.7213 -12.3168
Sm 5.3616 -2.5780 0.8063
Sm 3.5437 -1.6472 -8.2170
Sm 7.6554 -3.6521 -3.2934
Sm 0.2752 -0.0535 -12.1308
Sm 10.9239 -5.2458 0.6203
Sm 0.0000 0.0000 0.0000
Sm 7.9123 -3.7440 -8.1323
Sm 3.2868 -1.5553 -3.3781
Y 0.0216 -1.9735 -8.9473
Y 9.6009 -6.6114 -2.5844
Y 7.3055 -5.5252 -0.2252
Y 2.3169 -3.0597 -11.3065
Y 9.9675 -6.7489 -8.5191
Y -0.3451 -1.8360 -3.0126
Y 7.6789 -5.6329 -11.2596
Y 1.9436 -2.9520 -0.2721
Y 4.8112 -4.2925 -5.7659
Tm 8.1593 -5.8997 -5.6622
Tm 1.4631 -2.6852 -5.8695
Tm 4.9733 -4.3462 -9.4773
Tm 4.6492 -4.2387 -2.0544
```

Summary:
E_form   0.046 eV/atom
D(E_F)   31.82 states/eV per cell
Magnetic moment   0.0 μB/f.u.
Total DFT energy (no corrections)   -5.2859 eV/atom

---

7.
An optimized crystal structure of Sm3Y2Tm2. Source: Alexandria, functional PBE-GGA.

```
7
Lattice="3.5110 0.0000 0.0000 0.0000 8.4962 -0.7741 -1.7555 -3.5140 7.9966" Properties=species:S:1:pos:R:3 pbc="T T T"
Sm 0.0000 4.2481 -0.3871
Sm 0.0000 5.3200 2.7740
Sm 1.7555 -0.3377 4.4485
Y 1.7555 3.2645 5.1638
Y 0.0000 1.7177 2.0587
Tm 1.7555 7.2634 0.3315
Tm 0.0000 -2.2812 6.8910
```

Summary:
E_form   0.107 eV/atom
D(E_F)   11.43 states/eV per cell
Magnetic moment   0.0 μB/f.u.
Total DFT energy (no corrections)   -5.0394 eV/atom

---

8.
An optimized crystal structure of Sm4Y5Tm. Source: Alexandria, functional PBE-GGA.

```
10
Lattice="-3.5087 -4.8042 -0.3202 2.9313 -5.4875 -5.2114 2.1532 -5.6288 5.4354" Properties=species:S:1:pos:R:3 pbc="T T T"
Sm 0.8378 -7.7296 1.8399
Sm 0.7303 -11.2161 -0.0955
Sm 1.2188 -4.1934 0.0334
Sm 1.1113 -7.6799 -1.9021
Y -1.5843 -5.7621 -2.2164
Y 0.8281 -4.1999 3.3335
Y 1.0527 -11.3030 -3.4018
Y 3.4652 -9.7408 2.1480
Y -2.4037 -3.2912 -0.2194
Tm -0.7432 -1.0177 -0.0678
```

Summary:
E_form   0.252 eV/atom
D(E_F)   13.67 states/eV per cell
Magnetic moment   0.0 μB/f.u.
Total DFT energy (no corrections)   -5.3146 eV/atom

---

9.
An optimized crystal structure of SmY6Tm. Source: Alexandria, functional PBE-GGA.

```
8
Lattice="-1.6256 -4.4029 1.8477 0.9343 -4.8064 -3.7644 6.9233 -3.0892 5.6265" Properties=species:S:1:pos:R:3 pbc="T T T"
Sm 3.1160 -6.1493 1.8549
Y 4.6856 -9.2282 2.7825
Y 5.8104 -6.1579 4.2108
Y 1.9786 -9.2144 0.4275
Y 0.4216 -6.1406 -0.5010
Y 1.5463 -3.0704 0.9273
Y 4.2534 -3.0842 3.2822
Tm 0.0000 0.0000 0.0000
```

Summary:
E_form   0.024 eV/atom
D(E_F)   12.16 states/eV per cell
Magnetic moment   0.0 μB/f.u.
Total DFT energy (no corrections)   -5.9724 eV/atom

---

10.
An optimized crystal structure of Sm5Y3Tm3. Source: Alexandria, functional PBE-GGA.

```
11
Lattice="5.6103 0.0000 0.0000 0.0000 9.6936 0.0000 0.0000 -4.8468 8.3949" Properties=species:S:1:pos:R:3 pbc="T T T"
Sm 2.8051 0.0000 5.5966
Sm 2.8051 4.8468 2.7983
Sm 2.8051 1.3213 2.2886
Sm 2.8051 -3.5255 6.1063
Sm 2.8051 7.0510 0.0000
Y 0.0000 2.2478 3.8933
Y 0.0000 5.1981 0.0000
Y 0.0000 -2.5990 4.5017
Tm 2.8051 3.0664 5.3112
Tm 2.8051 -1.7804 3.0837
Tm 2.8051 3.5608 0.0000
```

Summary:
E_form   0.798 eV/atom
D(E_F)   19.30 states/eV per cell
Magnetic moment   0.0 μB/f.u.
Total DFT energy (no corrections)   -4.3297 eV/atom

---

11.
An optimized crystal structure of Sm2YTm. Source: Alexandria, functional PBE-GGA.

```
4
Lattice="3.6016 -0.0002 -0.0002 1.8007 3.1192 -0.0002 1.8002 1.0394 11.5646" Properties=species:S:1:pos:R:3 pbc="T T T"
Sm 1.8007 1.0396 8.6960
Sm 1.8010 1.0398 2.8751
Y 3.6010 2.0790 5.7826
Tm 5.4014 3.1185 11.5573
```

Summary:
E_form   0.017 eV/atom
D(E_F)   5.87 states/eV per cell
Magnetic moment   0.0 μB/f.u.
Total DFT energy (no corrections)   -5.0768 eV/atom

---

12.
An optimized crystal structure of Sm4Y6Tm. Source: Alexandria, functional PBE-GGA.

```
11
Lattice="7.6094 0.0000 0.0000 0.0000 7.6094 0.0000 -3.8047 -3.8047 6.6345" Properties=species:S:1:pos:R:3 pbc="T T T"
Sm -2.4911 2.4911 5.6239
Sm 6.2959 6.2959 1.0106
Sm 2.4911 -2.4911 5.6239
Sm 1.3136 1.3136 1.0106
Y 5.5958 2.0136 2.4564
Y 2.0136 5.5958 2.4564
Y 1.7911 1.7911 4.1781
Y 0.0000 3.8047 0.0000
Y -1.7911 -1.7911 4.1781
Y 3.8047 0.0000 0.0000
Tm 3.8047 3.8047 0.0000
```

Summary:
E_form   0.431 eV/atom
D(E_F)   11.80 states/eV per cell
Magnetic moment   0.0 μB/f.u.
Total DFT energy (no corrections)   -5.2174 eV/atom